MnIn2BiO6 | PBE with a Hubbard U | relaxed

## Properties
- calculated total energy (eV per cell) = -60.69
- ρ (g/cm3) = 7.21

Cell: 5.5407 5.7430 6.0682 Å, 59.08 60.84 59.37°
Closest atoms and distances in Å follow each position.
Atoms (fractional coordinates):
Mn1 0.8191 0.8122 0.5460  4 O 2.01-2.03
In1 0.5259 0.5099 0.4427  5 O 2.12-2.29
In2 0.0333 0.0262 0.9157  5 O 2.14-2.32
Bi1 0.3052 0.3035 0.0890  6 O 2.28-2.50
O1 0.6395 0.1916 0.2820  1 Mn 2.01, 1 In 2.18
O2 0.1935 0.8826 0.2709  1 Mn 2.01, 1 In 2.15
O3 0.8919 0.6503 0.2384  2 In 2.12-2.23, 1 Mn 2.28, 1 Bi 2.28
O4 0.4405 0.7260 0.7441  1 Mn 2.02, 1 In 2.18
O5 0.7213 0.1206 0.7438  2 In 2.14-2.18, 1 Mn 2.33
O6 0.0915 0.4388 0.7425  1 Mn 2.03, 1 In 2.17